Below is an optimized crystal structure of La4TbCd3, with properties calculated at the GGA-PBE level.

abc: 5.5914 5.5914 27.7128
angles: 90.00 90.00 120.00
Space group R-3m (No. 166, hexagonal axes)
Inequivalent atoms, fractional coordinates:
La  0.0000  0.0000  0.1210 x6
La  0.0000  0.0000  0.3723 x6
Tb  0.0000  0.0000  0.5000 x3
Cd  0.0000  0.0000  0.0000 x3
Cd  0.0000  0.0000  0.2445 x6

Results
ΔH_f (0 K), eV/atom: -0.20